NaSr2Ca PBEsol optimized geometry; energy relative to the elements = 0.222 eV per formula unit; total magnetic moment = 0.00 Bohr magnetons per cell; total DFT energy (no corrections) = -1.748 eV per atom; space group = Fm-3m
1.0
-4.437 -4.269 1.653
1.744 -5.772 2.070
-0.793 -1.562 6.129
Ca Sr Na
1 2 1
Cartesian
-1.743 -5.801 4.926
-2.614 -8.701 7.390
-0.871 -2.900 2.463
0.000 0.000 0.000